Pr3RuAu (GGA-PBE, relaxed); energy relative to the lowest polymorph listed for this composition = 0 meV per atom; ΔH_f (0 K) = -405 meV per atom
1.0
8.977 0.000 0.000
0.000 7.465 0.000
-2.267 0.000 8.440
Pr Ru Au
12 4 4
Direct
0.041 0.011 0.213
0.041 0.489 0.713
0.267 0.648 0.093
0.267 0.852 0.593
0.348 0.180 0.989
0.348 0.320 0.489
0.652 0.680 0.511
0.652 0.820 0.011
0.733 0.148 0.407
0.733 0.352 0.907
0.959 0.511 0.287
0.959 0.989 0.787
0.068 0.187 0.518
0.068 0.313 0.018
0.932 0.687 0.982
0.932 0.813 0.482
0.413 0.541 0.810
0.413 0.959 0.310
0.587 0.041 0.690
0.587 0.459 0.190

Tb2TmInN (GGA-PBE, relaxed); formation energy (no corrections) = -996 meV/atom
1.0
4.850 0.000 0.000
0.000 4.850 0.000
0.000 0.000 4.738
Tb Tm In N
2 1 1 1
Direct
0.000 0.500 0.000
0.500 0.000 0.000
0.000 0.000 0.500
0.500 0.500 0.500
0.000 0.000 0.000

Sm4Ga3Pt (GGA-PBE, relaxed); ΔH_f (0 K) = -726 meV per atom
1.0
4.261 0.000 0.000
0.000 4.280 0.000
0.000 0.000 10.953
Sm Ga Pt
4 3 1
Direct
0.000 0.000 0.000
0.000 0.500 0.485
0.500 0.000 0.706
0.500 0.500 0.212
0.000 0.500 0.777
0.500 0.000 0.426
0.500 0.500 0.924
0.000 0.000 0.274

NaHgPCl2 (GGA-PBE, relaxed); formation energy (no corrections) = -197 meV/atom; energy relative to the lowest polymorph listed for this composition = 0 meV per atom
1.0
5.703 0.000 0.000
0.000 5.703 0.000
0.000 0.000 4.912
Na Hg P Cl
1 1 1 2
Direct
0.000 0.000 0.000
0.500 0.500 0.500
0.500 0.500 0.000
0.000 0.500 0.500
0.500 0.000 0.500

Mn2NiAg (GGA-PBE, relaxed); energy relative to the lowest polymorph listed for this composition = 180 meV per atom; ΔH_f (0 K) = 328 meV per atom
1.0
0.000 3.059 3.059
3.059 0.000 3.059
3.059 3.059 0.000
Mn Ni Ag
2 1 1
Direct
0.000 0.000 0.000
0.250 0.250 0.250
0.750 0.750 0.750
0.500 0.500 0.500

K2TeOs (GGA-PBE, relaxed); formation energy (no corrections) = 739 meV/atom
1.0
4.261 0.000 0.000
0.000 4.363 0.000
0.000 0.000 5.414
K Te Os
2 1 1
Direct
0.000 0.000 0.000
0.500 0.500 0.000
0.000 0.500 0.500
0.500 0.000 0.500

NpAl2Au8 (GGA-PBE, relaxed); ΔH_f (0 K) = -220 meV per atom
1.0
7.119 -2.121 0.000
7.119 2.121 0.000
-3.466 0.000 6.901
Np Al Au
1 2 8
Direct
0.000 0.000 0.000
0.274 0.274 0.293
0.726 0.726 0.707
0.102 0.102 0.476
0.186 0.186 0.897
0.336 0.336 0.703
0.457 0.457 0.273
0.543 0.543 0.727
0.664 0.664 0.297
0.814 0.814 0.103
0.898 0.898 0.524

SrReW2 (GGA-PBE, relaxed); energy relative to the lowest polymorph listed for this composition = 827 meV per atom; ΔH_f (0 K) = 1575 meV per atom
1.0
3.962 0.000 0.000
0.000 3.962 0.000
0.000 0.000 4.825
Sr Re W
1 1 2
Direct
0.000 0.000 0.000
0.500 0.500 0.000
0.000 0.500 0.500
0.500 0.000 0.500

Ba2TlGa2 (GGA-PBE, relaxed); energy relative to the lowest polymorph listed for this composition = 119 meV per atom; ΔH_f (0 K) = -183 meV per atom
1.0
-3.321 3.321 4.182
3.321 -3.321 4.182
3.321 3.321 -4.182
Ba Tl Ga
2 1 2
Direct
0.250 0.750 0.500
0.750 0.250 0.500
0.000 0.000 0.000
0.355 0.355 0.000
0.645 0.645 0.000

Nd3Zn4Pd2 (GGA-PBE, relaxed); ΔH_f (0 K) = -554 meV per atom
1.0
5.435 -2.254 0.000
5.435 2.254 0.000
-3.339 0.000 7.955
Nd Zn Pd
3 4 2
Direct
0.000 0.000 0.000
0.323 0.323 0.345
0.677 0.677 0.655
0.039 0.039 0.376
0.279 0.279 0.947
0.721 0.721 0.053
0.961 0.961 0.624
0.399 0.399 0.731
0.601 0.601 0.269

Result set for E: -0.425; -0.438; -0.366; -0.172; -0.472; -0.250; -0.328; -0.620; -0.194; -0.284 Ry per atom, one per record in the order listed.